VASP calculation (GGA-PBEsol) on a relaxed Al2FeOs crystal.

a = 4.9812 Å, b = 4.9812 Å, c = 4.9812 Å
α = 145.96°, β = 131.97°, γ = 60.17°
Closest atoms and distances in Å follow each position.
Sites, in units of the cell vectors:
Al  0.0000  0.0000  0.0000  2 Fe 2.49, 4 Os 2.51, 2 Al 2.76
Al  0.7280  0.2280  0.5000  4 Fe 2.50, 2 Os 2.65, 2 Al 2.76
Fe  0.2342  0.7342  0.5000  6 Al 2.49-2.50, 2 Os 2.51
Os  0.4716  0.4716  0.0000  6 Al 2.51-2.65, 2 Fe 2.51

Output
DOS(E_F)	0.537	states/eV/atom
ΔH_f (0 K)	-278.5	meV per atom